CdRh2Cl: relaxed, PBE-GGA.

## Properties
For the volume, the calculation gives 16.50 A^3/atom. Its uncorrected formation energy is 0.41 eV/atom. As for the total DFT energy (no corrections): -31.63 eV for the cell shown.

Cell: 6.1463 7.0618 3.0411 Å, 90.00 90.00 90.00°
Space group Cmmm (No. 65)
Unique sites:
Cd (0.0000, 0.0000, 0.0000) (multiplicity 2)
Rh (0.2500, 0.2500, 0.5000) (multiplicity 4)
Cl (0.0000, 0.5000, 0.0000) (multiplicity 2)

=====

BaSb2TeCl: relaxed, PBE-GGA.

## Properties
For the volume, the calculation gives 34.23 A^3/atom. Its uncorrected formation energy is -0.16 eV/atom. As for the total DFT energy (no corrections): -15.96 eV for the cell shown.

Cell: 5.3995 5.3995 5.8699 Å, 90.00 90.00 90.00°
Space group P4/mmm (No. 123)
Unique sites:
Ba (0.0000, 0.0000, 0.0000) (multiplicity 1)
Sb (0.0000, 0.5000, 0.5000) (multiplicity 2)
Te (0.5000, 0.5000, 0.0000) (multiplicity 1)
Cl (0.5000, 0.5000, 0.5000) (multiplicity 1)

=====

Tl4SbCl: relaxed, PBE-GGA.

## Properties
For the volume, the calculation gives 31.71 A^3/atom. Its uncorrected formation energy is -0.01 eV/atom. As for the total DFT energy (no corrections): -62.07 eV for the cell shown.

Cell: 9.1296 9.1296 9.1296 Å, 90.00 90.00 90.00°
Space group F-43m (No. 216)
Unique sites:
Tl (0.1252, 0.1252, 0.1252) (multiplicity 16)
Sb (0.0000, 0.0000, 0.5000) (multiplicity 4)
Cl (0.2500, 0.2500, 0.7500) (multiplicity 4)

=====

Dy2RhPb: relaxed, PBE-GGA.

## Properties
For the volume, the calculation gives 26.96 A^3/atom. As for the formation energy: -0.5686 eV/atom. As for the total DFT energy (no corrections): -67.61 eV for the cell shown.

Cell: 3.8094 3.8094 25.7471 Å, 90.00 90.00 120.00°
Space group R-3m (No. 166, hexagonal axes)
Unique sites:
Dy (0.0000, 0.0000, 0.2312) (multiplicity 6)
Rh (0.0000, 0.0000, 0.5000) (multiplicity 3)
Pb (0.0000, 0.0000, 0.0000) (multiplicity 3)

=====

DyMg2Pd8: relaxed, PBE-GGA.

## Properties
For the volume, the calculation gives 16.50 A^3/atom. As for the formation energy: -0.6129 eV/atom. As for the total DFT energy (no corrections): -112.15 eV for the cell shown.

Cell: 14.3792 4.1193 6.3890 Å, 90.00 106.44 90.00°
Space group C2/m (No. 12)
Unique sites:
Dy (0.0000, 0.0000, 0.0000) (multiplicity 2)
Mg (0.2233, 0.5000, 0.6540) (multiplicity 4)
Pd (0.0426, 0.5000, 0.7207) (multiplicity 4)
Pd (0.0964, 0.0000, 0.4670) (multiplicity 4)
Pd (0.1435, 0.5000, 0.1961) (multiplicity 4)
Pd (0.1824, 0.0000, 0.9160) (multiplicity 4)

=====

RbGa2Os: relaxed, PBE-GGA.

## Properties
For the volume, the calculation gives 36.17 A^3/atom. As for the formation energy: 0.3061 eV/atom. As for the total DFT energy (no corrections): -68.11 eV for the cell shown.

Cell: 6.5039 6.5039 13.6827 Å, 90.00 90.00 90.00°
Space group I4_1/amd (No. 141, origin choice 2)
Unique sites:
Rb (0.0000, 0.2500, 0.3750) (multiplicity 4)
Ga (0.0000, 0.0000, 0.0000) (multiplicity 8)
Os (0.0000, 0.2500, 0.8750) (multiplicity 4)